Entry 1:
Material: Nd2AlGa3Cu4
Method: DFT, PBE
State: optimized geometry

Calculated values
For the formation energy from the elements, the calculation gives -0.441 eV/atom. As for the density of states at the Fermi level: 0.557 states/eV/atom.

The structure in extended XYZ format:
```
10
Lattice="-0.843 3.771 1.704 -2.449 -1.856 2.897 8.008 -0.985 6.140" Properties=species:S:1:pos:R:3 pbc="T T T"
Cu 1.724 -1.291 3.709
Ga 4.004 -0.492 3.070
Nd 1.526 1.646 2.345
Ga -0.190 -1.055 2.242
Cu 0.000 0.000 0.000
Cu 4.638 1.263 4.731
Cu -1.646 0.958 2.300
Nd 4.835 -1.673 6.095
Ga 6.552 1.028 6.198
Al 2.358 0.465 5.370
```

Entry 2:
Material: LiCeNiRu
Method: DFT, PBE
State: optimized geometry

Calculated values
For the formation energy from the elements, the calculation gives -0.103 eV/atom. As for the density of states at the Fermi level: 0.736 states/eV/atom.

The structure in extended XYZ format:
```
4
Lattice="4.510 0.000 0.000 2.255 3.905 0.000 2.255 1.302 3.682" Properties=species:S:1:pos:R:3 pbc="T T T"
Li 6.764 3.905 2.762
Ni 4.510 2.604 1.841
Ru 0.000 0.000 0.000
Ce 2.255 1.302 0.921
```

Entry 3:
Material: Ta2TiAg
Method: DFT, PBE
State: optimized geometry

Calculated values
For the formation energy from the elements, the calculation gives 0.401 eV/atom. As for the density of states at the Fermi level: 1.457 states/eV/atom.

The structure in extended XYZ format:
```
4
Lattice="0.000 3.275 3.275 3.275 0.000 3.275 3.275 3.275 0.000" Properties=species:S:1:pos:R:3 pbc="T T T"
Ta 1.638 1.638 1.638
Ta 4.913 4.913 4.913
Ti 0.000 0.000 0.000
Ag 3.275 3.275 3.275
```

Entry 4:
Material: Hg4BrOF2
Method: DFT, PBE
State: optimized geometry

Calculated values
The value obtained for the energy relative to the elements, uncorrected is -5.186 eV/f.u. As for the density of states at the Fermi level: 0.092 states/eV/atom.

The structure in extended XYZ format:
```
8
Lattice="-4.244 -2.640 -0.439 0.124 -1.065 5.471 -1.740 8.630 -2.036" Properties=species:S:1:pos:R:3 pbc="T T T"
Hg -2.365 5.437 2.516
F -2.401 -0.519 -0.248
Hg -2.336 1.887 -0.871
Hg -3.839 3.117 2.174
Br -5.680 5.201 -0.336
O -3.359 0.862 2.920
F -1.286 2.380 0.824
Hg -3.497 -0.982 1.943
```

Entry 5:
Material: K2SiNiN
Method: DFT, PBE
State: optimized geometry

Calculated values
The value obtained for the energy relative to the elements, uncorrected is 1.812 eV/f.u. As for the density of states at the Fermi level: 0.554 states/eV/atom.

The structure in extended XYZ format:
```
5
Lattice="-5.250 1.776 2.402 0.864 -1.448 2.959 2.565 5.171 1.781" Properties=species:S:1:pos:R:3 pbc="T T T"
K -2.625 0.888 1.201
Si -0.911 2.750 3.571
K 1.282 2.585 0.891
Ni 0.432 -0.724 1.479
N 0.000 0.000 0.000
```

Entry 6:
Material: CaTbNd
Method: DFT, PBE
State: optimized geometry

Calculated values
For the formation energy from the elements, the calculation gives 0.060 eV/atom. As for the density of states at the Fermi level: 1.389 states/eV/atom.

The structure in extended XYZ format:
```
6
Lattice="-3.340 -0.575 1.291 1.434 -1.421 3.076 1.752 15.158 6.190" Properties=species:S:1:pos:R:3 pbc="T T T"
Tb -0.547 7.227 6.897
Nd 0.418 10.468 5.743
Nd -0.572 2.694 4.813
Tb 0.393 5.934 3.660
Ca 0.367 1.150 1.462
Ca -0.521 12.012 9.095
```